# 1
4
Lattice="-4.471 -2.741 1.301 -2.245 -3.364 -3.583 0.239 -5.340 0.790" Properties=species:S:1:pos:R:3 comment="MgCdPb2 PBE optimized geometry" space_group="F-43m, No. 216" density_g_cm3=8.20 polymorph_energy_mev_per_atom=48 ef_ev_per_atom=0.022 pbc="T T T"
Pb 0.000 0.000 0.000
Pb -1.619 -2.861 -0.373
Mg -4.858 -8.584 -1.119
Cd -3.239 -5.723 -0.746

# 2
15
Lattice="8.115 0.000 0.000 -4.057 7.006 -0.029 0.000 -4.646 7.922" Properties=species:S:1:pos:R:3 comment="Pm8Ni3CI3 PBE optimized geometry" space_group="C2/m, No. 12" density_g_cm3=6.39 formation_energy_uncorrected_ev_per_atom=-0.49 pbc="T T T"
Pm 0.000 2.344 2.505
Pm 4.057 0.017 5.389
Pm 4.057 2.504 2.542
Pm 0.000 -0.143 5.351
Pm 6.225 -1.235 2.563
Pm -2.167 3.596 5.330
Pm 1.890 -1.235 2.563
Pm 2.167 3.596 5.330
Ni 4.057 -2.323 3.961
Ni 2.029 1.180 3.947
Ni -2.029 1.180 3.947
C 0.000 -2.323 3.961
I 0.000 0.000 0.000
I -2.029 3.503 -0.015
I 2.029 3.503 -0.015

# 3
5
Lattice="-0.511 4.459 3.375 -2.092 -4.968 1.575 6.236 -1.640 3.110" Properties=species:S:1:pos:R:3 comment="Ba3As2 PBE optimized geometry" space_group="P-3m1, No. 164" density_g_cm3=4.77 polymorph_energy_mev_per_atom=0 ef_ev_per_atom=-1.051 pbc="T T T"
As -0.219 -2.179 2.846
As 3.853 0.031 5.214
Ba 0.000 0.000 0.000
Ba 2.755 -2.961 4.329
Ba 0.878 0.813 3.731

# 4
5
Lattice="-0.073 5.379 0.272 -0.715 -0.279 5.332 3.442 2.576 3.318" Properties=species:S:1:pos:R:3 comment="La2Ni2Cl PBE optimized geometry" space_group="I4/mmm, No. 139" density_g_cm3=6.37 formation_energy_uncorrected_ev_per_atom=-0.43 pbc="T T T"
Ni 0.721 2.558 2.952
Ni 1.933 5.119 5.970
Cl 0.000 0.000 0.000
La 1.487 5.253 3.196
La 1.167 2.423 5.726

# 5
16
Lattice="7.470 0.000 0.000 0.000 7.557 0.055 -3.735 -3.731 5.286" Properties=species:S:1:pos:R:3 comment="Ac4TbTh3N8 PBE optimized geometry" space_group="R-3m, No. 166" density_g_cm3=10.38 formation_energy_uncorrected_ev_per_atom=-1.36 pbc="T T T"
Ac 3.735 0.000 0.000
Ac 1.868 -1.866 2.643
Ac 0.000 0.000 0.000
Ac -1.868 -1.866 2.643
Tb 0.000 3.779 0.027
Th 3.735 3.779 0.027
Th 1.868 1.913 2.670
Th -1.868 1.913 2.670
N -1.857 1.779 5.208
N 0.000 3.634 2.581
N 0.000 0.201 2.782
N 1.857 1.779 5.208
N 1.878 2.047 0.133
N 3.735 3.625 2.559
N 3.735 0.192 2.760
N 5.592 2.047 0.133

# 6
8
Lattice="-3.989 2.827 0.838 -1.047 -2.675 4.044 5.696 6.355 5.678" Properties=species:S:1:pos:R:3 comment="Pm6SmAl PBE optimized geometry" space_group="P4/mmm, No. 123" density_g_cm3=6.90 ef_ev_per_atom=-0.060 pbc="T T T"
Pm -2.518 0.076 2.441
Pm 0.330 3.254 5.280
Pm -0.496 3.085 1.912
Pm 2.203 6.097 4.603
Pm 0.975 0.334 3.516
Pm 3.675 3.346 6.206
Sm 0.000 0.000 0.000
Al 2.848 3.178 2.839

# 7
16
Lattice="4.214 0.000 0.000 -2.107 7.077 0.000 0.000 0.000 14.479" Properties=species:S:1:pos:R:3 comment="BaSm2CuSe4 PBE optimized geometry" space_group="Cmcm, No. 63" density_g_cm3=6.29 formation_energy_uncorrected_ev_per_atom=-1.62 pbc="T T T"
Ba 0.000 1.625 10.859
Ba 2.107 5.452 3.620
Sm 0.000 5.252 8.084
Sm 2.107 1.825 0.845
Sm 2.107 1.825 6.395
Sm 0.000 5.252 13.634
Cu 2.107 4.879 10.859
Cu 0.000 2.197 3.620
Se 0.000 3.797 1.707
Se 2.107 3.280 8.946
Se 2.107 3.280 12.772
Se 0.000 3.797 5.533
Se 0.000 0.000 7.239
Se 0.000 0.000 0.000
Se 0.000 6.185 10.859
Se 2.107 0.892 3.620

# 8
4
Lattice="3.579 0.000 0.000 0.000 3.579 0.000 0.000 0.000 8.523" Properties=species:S:1:pos:R:3 comment="MnTlTe2 PBE optimized geometry" space_group="P4/mmm, No. 123" density_g_cm3=7.83 formation_energy_uncorrected_ev_per_atom=0.03 pbc="T T T"
Mn 1.789 1.789 6.392
Te 0.000 0.000 8.054
Te 0.000 0.000 4.730
Tl 1.789 1.789 2.131

# 9
6
Lattice="0.000 4.388 4.388 4.388 0.000 4.388 4.388 4.388 0.000" Properties=species:S:1:pos:R:3 comment="La4AsRh PBE optimized geometry" space_group="F-43m, No. 216" density_g_cm3=7.21 ef_ev_per_atom=0.294 pbc="T T T"
La 3.288 5.487 5.487
La 5.487 5.487 3.288
La 5.487 3.288 5.487
La 3.288 3.288 3.288
As 0.000 0.000 0.000
Rh 6.582 6.582 6.582

# 10
12
Lattice="-0.679 -2.798 -2.078 2.547 -4.274 7.957 -10.907 0.039 3.511" Properties=species:S:1:pos:R:3 comment="SmHo4Er PBE optimized geometry" space_group="Cmc2_1, No. 36" density_g_cm3=8.66 polymorph_energy_mev_per_atom=0 ef_ev_per_atom=0.002 pbc="T T T"
Sm -7.986 -3.259 3.964
Sm -1.457 -3.773 5.557
Ho -2.932 0.002 0.955
Ho -6.524 -7.034 8.570
Ho 1.180 -5.812 4.408
Ho -5.162 -1.239 3.355
Ho -2.527 -3.274 2.201
Ho -6.901 -3.758 7.315
Ho -3.698 -5.024 7.973
Ho -0.302 -2.027 -0.205
Er -4.766 -4.531 4.626
Er 0.781 -2.520 3.138

# 11
6
Lattice="4.278 0.000 0.000 0.000 4.278 0.000 0.000 0.000 14.565" Properties=species:S:1:pos:R:3 comment="AuI2 PBE optimized geometry" space_group="P4_2/mmc, No. 131" density_g_cm3=5.62 formation_energy_uncorrected_ev_per_atom=0.07 pbc="T T T"
Au 0.000 0.000 10.924
Au 0.000 0.000 3.641
I 0.000 2.139 12.633
I 2.139 0.000 5.350
I 2.139 0.000 9.215
I 0.000 2.139 1.933

# 12
5
Lattice="5.437 0.000 0.000 0.000 5.437 0.000 0.000 0.000 5.437" Properties=species:S:1:pos:R:3 comment="Na3PBr PBE optimized geometry" space_group="Pm-3m, No. 221" density_g_cm3=1.86 polymorph_energy_mev_per_atom=0 formation_energy_uncorrected_ev_per_atom=-0.48 pbc="T T T"
P 0.000 0.000 0.000
Br 2.719 2.719 2.719
Na 0.000 2.719 0.000
Na 0.000 0.000 2.719
Na 2.719 0.000 0.000